(1)
The following is a DFT calculation (GGA-PBE) of Dy2ZrSe2N2 after structural relaxation.

Cell: 4.221 4.221 7.977 Å, 105.34 105.34 90.00°
Sites, in units of the cell vectors:
Dy 0.389 0.389 0.778
Dy 0.611 0.611 0.222
Zr 0.000 0.000 0.000
Se 0.184 0.184 0.368
Se 0.816 0.816 0.632
N 0.000 0.500 0.000
N 0.500 0.000 0.000

Properties
Energy relative to the elements, uncorrected = -36.23 kcal/mol of atoms
Total DFT energy (no corrections) = -52.37 eV for the cell shown
V = 132 Å³/f.u.

***

(2)
The following is a DFT calculation (GGA-PBE) of CdIn2FeCl6 after structural relaxation.

Cell: 6.121 6.877 6.877 Å, 90.00 90.00 90.00°
Last column: magnetic moment on the atom in μB.
Sites, in units of the cell vectors:
Cd 0.573 0.500 0.500  0.01
In 0.039 0.500 0.000  0.00
In 0.039 0.000 0.500  0.00
Fe 0.582 0.000 0.000  3.43
Cl 0.707 0.241 0.241  0.04
Cl 0.707 0.241 0.759  0.04
Cl 0.169 0.500 0.500  0.01
Cl 0.217 0.000 0.000  0.11
Cl 0.707 0.759 0.759  0.04
Cl 0.707 0.759 0.241  0.04

Properties
Energy relative to the elements, uncorrected = -18.96 kcal/mol of atoms
Total DFT energy (no corrections) = -34.16 eV for the cell shown
V = 289 Å³/f.u.